# PBE-GGA HfBi2IrRu, optimized geometry
data_HfBi2IrRu
_cell_length_a 5.489
_cell_length_b 5.489
_cell_length_c 4.643
_cell_angle_alpha 90.00
_cell_angle_beta 90.00
_cell_angle_gamma 90.00
_space_group_name_H-M_alt 'P 4/m m m'
_space_group_IT_number 123
_space_group_name_Hall '-P 4 2'
loop_
_atom_site_label
_atom_site_fract_x
_atom_site_fract_y
_atom_site_fract_z
Hf1 0.000 0.000 0.000
Bi1 0.000 0.500 0.000
Ir1 0.500 0.500 0.500
Ru1 0.000 0.000 0.500
# * DFT total energy: -5.643 eV per atom
# * density: 10.6 Mg/m³
# * spin magnetization: 0.178 μB per atom